LiTc2Se: optimized geometry, PBE.

Unit cell a=2.776 b=2.776 c=8.881 alpha=90.00 beta=90.00 gamma=114.26
Element x y z (fractional)
Li  0.000  0.000  0.000
Tc  0.000  0.000  0.509
Tc  0.500  0.500  0.743
Se  0.500  0.500  0.248

**Energy**: -6.28 eV/atom
**Formation energy without anion corrections**: 0.2489 eV/atom